# LiPm4Hg2 PBE relaxed
data_LiPm4Hg2
_chemical_formula_sum 'Li2 Pm8 Hg4'
_cell_length_a 7.2697
_cell_length_b 6.7125
_cell_length_c 8.8527
_cell_angle_alpha 90.00
_cell_angle_beta 109.74
_cell_angle_gamma 90.00
_space_group_name_H-M_alt 'P 1 21/m 1'
_space_group_IT_number 11
_space_group_name_Hall '-P 2yb'
loop_
_atom_site_label
_atom_site_type_symbol
_atom_site_fract_x
_atom_site_fract_y
_atom_site_fract_z
Li1 Li 0.0731 0.2500 0.2922
Pm1 Pm 0.1693 0.7500 0.1220
Pm2 Pm 0.3170 0.0082 0.7805
Pm3 Pm 0.4961 0.2500 0.4849
Hg1 Hg 0.0568 0.7500 0.4521
Hg2 Hg 0.2845 0.2500 0.0923
# - magnetic moment (μB per formula unit) = 0.000
# - ΔH_f (0 K) (eV/atom) = -0.146
# - V (Å³/f.u.) = 203.3
# - calculated total energy (eV for the cell shown) = -45.09


# SiTe2AuN PBE relaxed
data_SiTe2AuN
_chemical_formula_sum 'Si1 Te2 Au1 N1'
_cell_length_a 5.6712
_cell_length_b 5.6712
_cell_length_c 3.2363
_cell_angle_alpha 90.00
_cell_angle_beta 90.00
_cell_angle_gamma 90.00
_space_group_name_H-M_alt 'P 4/m m m'
_space_group_IT_number 123
_space_group_name_Hall '-P 4 2'
loop_
_atom_site_label
_atom_site_type_symbol
_atom_site_fract_x
_atom_site_fract_y
_atom_site_fract_z
Si1 Si 0.0000 0.0000 0.0000
Te1 Te 0.0000 0.5000 0.0000
Au1 Au 0.5000 0.5000 0.5000
N1 N 0.0000 0.0000 0.5000
# - magnetic moment (μB per formula unit) = 0.000
# - energy relative to the elements, uncorrected (meV/atom) = 285
# - energy above the most stable polymorph in this dataset (eV per atom) = 0.000
# - V (Å³/f.u.) = 104.1
# - calculated total energy (eV for the cell shown) = -21.88


# KMgHgTe3 PBE relaxed
data_KMgHgTe3
_chemical_formula_sum 'K2 Mg2 Hg2 Te6'
_cell_length_a 9.6702
_cell_length_b 3.8800
_cell_length_c 11.8643
_cell_angle_alpha 90.00
_cell_angle_beta 105.93
_cell_angle_gamma 90.00
_space_group_name_H-M_alt 'P 1 21/m 1'
_space_group_IT_number 11
_space_group_name_Hall '-P 2yb'
loop_
_atom_site_label
_atom_site_type_symbol
_atom_site_fract_x
_atom_site_fract_y
_atom_site_fract_z
K1 K 0.2177 0.2500 0.2491
Mg1 Mg 0.3428 0.7500 0.9165
Hg1 Hg 0.0736 0.2500 0.6369
Te1 Te 0.1049 0.2500 0.8778
Te2 Te 0.2194 0.7500 0.5214
Te3 Te 0.4743 0.7500 0.1617
# - magnetic moment (μB per formula unit) = 0.000
# - energy relative to the elements, uncorrected (meV/atom) = -521
# - V (Å³/f.u.) = 214.0
# - calculated total energy (eV for the cell shown) = -31.09


# TbTe2 PBE relaxed
data_TbTe2
_chemical_formula_sum 'Tb1 Te2'
_cell_length_a 3.2753
_cell_length_b 3.2753
_cell_length_c 10.6860
_cell_angle_alpha 90.00
_cell_angle_beta 90.00
_cell_angle_gamma 90.00
_space_group_name_H-M_alt 'P 4/m m m'
_space_group_IT_number 123
_space_group_name_Hall '-P 4 2'
loop_
_atom_site_label
_atom_site_type_symbol
_atom_site_fract_x
_atom_site_fract_y
_atom_site_fract_z
Tb1 Tb 0.0000 0.0000 0.0000
Te1 Te 0.0000 0.0000 0.2838
# - magnetic moment (μB per formula unit) = 0.000
# - energy relative to the elements, uncorrected (meV/atom) = -62
# - V (Å³/f.u.) = 114.6
# - calculated total energy (eV for the cell shown) = -11.10


# Na3TmTh3Te8 PBE relaxed
data_Na3TmTh3Te8
_chemical_formula_sum 'Na9 Tm3 Th9 Te24'
_cell_length_a 8.8077
_cell_length_b 8.8077
_cell_length_c 23.3655
_cell_angle_alpha 90.00
_cell_angle_beta 90.00
_cell_angle_gamma 120.00
_space_group_name_H-M_alt 'R -3 m'
_space_group_IT_number 166
_space_group_name_Hall '-R 3 2"'
loop_
_atom_site_label
_atom_site_type_symbol
_atom_site_fract_x
_atom_site_fract_y
_atom_site_fract_z
Na1 Na 0.0000 0.5000 0.0000
Tm1 Tm 0.0000 0.0000 0.5000
Th1 Th 0.0000 0.5000 0.5000
Te1 Te 0.0000 0.0000 0.2489
Te2 Te 0.0065 0.5032 0.2450
# - magnetic moment (μB per formula unit) = 0.001
# - energy relative to the elements, uncorrected (meV/atom) = -1161
# - V (Å³/f.u.) = 523.2
# - calculated total energy (eV for the cell shown) = -219.69


# AcPr3Pd12 PBE relaxed
data_AcPr3Pd12
_chemical_formula_sum 'Ac1 Pr3 Pd12'
_cell_length_a 4.2394
_cell_length_b 4.2394
_cell_length_c 17.0227
_cell_angle_alpha 90.00
_cell_angle_beta 90.00
_cell_angle_gamma 90.00
_space_group_name_H-M_alt 'P 4/m m m'
_space_group_IT_number 123
_space_group_name_Hall '-P 4 2'
loop_
_atom_site_label
_atom_site_type_symbol
_atom_site_fract_x
_atom_site_fract_y
_atom_site_fract_z
Ac1 Ac 0.0000 0.0000 0.0000
Pr1 Pr 0.0000 0.0000 0.2529
Pr2 Pr 0.0000 0.0000 0.5000
Pd1 Pd 0.0000 0.5000 0.1288
Pd2 Pd 0.0000 0.5000 0.3764
Pd3 Pd 0.5000 0.5000 0.0000
Pd4 Pd 0.5000 0.5000 0.2526
Pd5 Pd 0.5000 0.5000 0.5000
# - magnetic moment (μB per formula unit) = 0.000
# - ΔH_f (0 K) (eV/atom) = -0.736
# - V (Å³/f.u.) = 305.9
# - calculated total energy (eV for the cell shown) = -92.53


# NdAs2Rh2 PBE relaxed
data_NdAs2Rh2
_chemical_formula_sum 'Nd2 As4 Rh4'
_cell_length_a 4.2932
_cell_length_b 4.2932
_cell_length_c 10.0442
_cell_angle_alpha 90.00
_cell_angle_beta 90.00
_cell_angle_gamma 90.00
_space_group_name_H-M_alt 'P 4/n m m'
_space_group_IT_number 129
loop_
_space_group_symop_operation_xyz
'x,y,z'
'-x,-y,-z'
'-y+1/2,x,z'
'y+1/2,-x,-z'
'-x+1/2,-y+1/2,z'
'x+1/2,y+1/2,-z'
'y,-x+1/2,z'
'-y,x+1/2,-z'
'x+1/2,-y,-z'
'-x+1/2,y,z'
'-y,-x,-z'
'y,x,z'
'-x,y+1/2,-z'
'x,-y+1/2,z'
'y+1/2,x+1/2,-z'
'-y+1/2,-x+1/2,z'
loop_
_atom_site_label
_atom_site_type_symbol
_atom_site_fract_x
_atom_site_fract_y
_atom_site_fract_z
Nd1 Nd 0.2500 0.2500 0.2469
As1 As 0.2500 0.2500 0.6365
As2 As 0.2500 0.7500 0.0000
Rh1 Rh 0.2500 0.2500 0.8787
Rh2 Rh 0.2500 0.7500 0.5000
# - magnetic moment (μB per formula unit) = 0.000
# - ΔH_f (0 K) (eV/atom) = -0.929
# - V (Å³/f.u.) = 92.6
# - calculated total energy (eV for the cell shown) = -66.83


# LaPmCl PBE relaxed
data_LaPmCl
_chemical_formula_sum 'La1 Pm1 Cl1'
_cell_length_a 3.8074
_cell_length_b 3.8074
_cell_length_c 7.4337
_cell_angle_alpha 90.00
_cell_angle_beta 90.00
_cell_angle_gamma 120.00
_space_group_name_H-M_alt 'P 3 m 1'
_space_group_IT_number 156
_space_group_name_Hall 'P 3 -2"'
loop_
_atom_site_label
_atom_site_type_symbol
_atom_site_fract_x
_atom_site_fract_y
_atom_site_fract_z
La1 La 0.0000 0.0000 0.0000
Pm1 Pm 0.6667 0.3333 0.6084
Cl1 Cl 0.3333 0.6667 0.3201
# - magnetic moment (μB per formula unit) = 0.606
# - energy relative to the elements, uncorrected (meV/atom) = -906
# - energy above the most stable polymorph in this dataset (eV per atom) = 0.000
# - V (Å³/f.u.) = 93.3
# - calculated total energy (eV for the cell shown) = -14.24